Entry 1:
A geometry-optimized NpAgS2 structure. Source: Alexandria via LeMat-Bulk, functional PBE.

Cell: 6.2552 6.8907 4.1397 Å, 90.00 90.00 90.00°
With the nearest neighbours (Å) after each atom.
Space group Pnnm (No. 58)
One atom of each set of equivalent atoms:
Np 0.0000 0.0000 0.0000  6 S 2.78-2.80
Ag 0.0000 0.5000 0.0000  2 S 2.46
S 0.1832 0.2120 0.5000  1 Ag 2.46

- ΔE_f (raw): -0.850 eV per atom
- Total magnetic moment: 8.0 μB/cell

***

Entry 2:
A geometry-optimized RbRhW3 structure. Source: Alexandria via LeMat-Bulk, functional PBE.

Cell: 4.8919 4.8919 4.8919 Å, 90.00 90.00 90.00°
With the nearest neighbours (Å) after each atom.
Space group Pm-3m (No. 221)
One atom of each set of equivalent atoms:
Rb 0.0000 0.0000 0.0000  12 W 3.46
Rh 0.5000 0.5000 0.5000  6 W 2.45
W 0.0000 0.5000 0.5000  2 Rh 2.45

- Energy of formation: 2.31 eV per atom
- Energy above the most stable polymorph in this dataset: 0 meV/atom
- Total magnetic moment: 0.0 μB/cell

***

Entry 3:
A geometry-optimized TaAgPb2 structure. Source: Alexandria via LeMat-Bulk, functional PBE.

Cell: 7.8771 7.8771 6.3257 Å, 90.00 90.00 90.00°
With the nearest neighbours (Å) after each atom.
Space group I-42d (No. 122)
One atom of each set of equivalent atoms:
Ta 0.0000 0.0000 0.0000  4 Pb 2.92, 2 Ag 3.16
Ag 0.0000 0.0000 0.5000  4 Pb 2.87, 2 Ta 3.16
Pb 0.2449 0.2500 0.6250  2 Ag 2.87, 2 Ta 2.92, 2 Pb 3.16

- Energy of formation: 0.86 eV per atom
- Energy above the most stable polymorph in this dataset: 528 meV/atom
- Total magnetic moment: 0.0 μB/cell

***

Entry 4:
A geometry-optimized PrNd3N3 structure. Source: Alexandria via LeMat-Bulk, functional PBE.

Cell: 6.3983 6.3983 27.7599 Å, 90.00 90.00 120.00°
With the nearest neighbours (Å) after each atom.
Space group R-3 (No. 148, hexagonal axes)
One atom of each set of equivalent atoms:
Pr 0.0000 0.0000 0.1668  6 N 2.64-2.65
Nd 0.0000 0.3156 0.6003  3 N 2.30-2.46
N 0.0004 0.3679 0.4390  3 Nd 2.30-2.46

- Energy above the most stable polymorph in this dataset: 154 meV/atom
- ΔE_f (raw): -0.944 eV per atom
- Total magnetic moment: 2.7 μB/cell